Record 1
Entry from Alexandria: an optimized crystal structure of K2PmPtO4 (PBE).

The structure belongs to space group I-4 (No. 82); the cell edges are 6.300, 6.300 and 7.093 Å and the angles 90.00°, 90.00° and 90.00°. Symmetry generates all atoms from K at (0.000, 0.000, 0.000), K at (0.000, 0.500, 0.250), Pm at (0.000, 0.000, 0.500), Pt at (0.000, 0.500, 0.750) and O at (0.155, 0.225, 0.711).

As for the formation energy (no corrections): -1651 meV/atom. The value obtained for the uncorrected energy is -92.062 eV per cell. For the volume, the calculation gives 282 Å³/cell.

=====

Record 2
Entry from Alexandria: an optimized crystal structure of K2PmPu3O12 (PBE).

The structure belongs to space group R-3m (No. 166, hexagonal axes); the cell edges are 8.1447, 8.1447 and 15.7416 Å and the angles 90.00°, 90.00° and 120.00°. Symmetry generates all atoms from K at (0.0000, 0.0000, 0.1115), Pm at (0.0000, 0.0000, 0.5000), Pu at (0.0000, 0.5000, 0.0000), O at (0.0399, 0.5199, 0.8827) and O at (0.1004, 0.5502, 0.3022).

As for the formation energy (no corrections): -2503 meV/atom. The value obtained for the uncorrected energy is -463.500 eV per cell. For the volume, the calculation gives 904 Å³/cell.

=====

Record 3
Entry from Alexandria: an optimized crystal structure of K2PmPuO4 (PBE).

The structure belongs to space group P2/m (No. 10); the cell edges are 6.227, 3.597 and 6.621 Å and the angles 90.00°, 108.33° and 90.00°. Symmetry generates all atoms from K at (0.000, 0.000, 0.000), K at (0.500, 0.500, 0.000), Pm at (0.000, 0.500, 0.500), Pu at (0.500, 0.000, 0.500), O at (0.232, 0.000, 0.690) and O at (0.275, 0.500, 0.313).

As for the formation energy (no corrections): -2501 meV/atom. The value obtained for the uncorrected energy is -61.119 eV per cell. For the volume, the calculation gives 141 Å³/cell.